VASP calculation (SCAN) on a PBEsol-optimized structure of CaInRe.

Output
Formation enthalpy at 0 K = 1.54 eV per atom
Polymorph energy (0 for the lowest one) = 1.016 eV per atom
E = -36.505 eV/atom

Structure (POSCAR):
```
CaInRe
1.0
0.0000 3.3644 3.3644
3.3644 0.0000 3.3644
3.3644 3.3644 0.0000
Ca In Re
1 1 1
direct
0.0000 0.0000 0.0000
0.2500 0.2500 0.2500
0.7500 0.7500 0.7500
```